! TcOsRhW | Alexandria | GGA-PBE | relaxed; values from VASP
&SYSTEM
  ibrav = 0, nat = 4, ntyp = 4
/
ATOMIC_SPECIES
Tc 98.00 Tc.upf
Os 190.23 Os.upf
Rh 102.91 Rh.upf
W 183.84 W.upf
ATOMIC_POSITIONS crystal
Tc 0.870 0.370 0.740
Os 0.370 0.869 0.740
Rh 0.120 0.120 0.240
W 0.620 0.620 0.240
CELL_PARAMETERS angstrom
3.902 0.000 0.000
0.000 3.902 0.001
-1.951 -1.950 3.882
! Total moment (μB/atom): 0.00
! Energy relative to the elements (meV/atom): -6
! Mass density (g cm⁻³): 16.2
! Electronic total energy (eV/cell): -41.9



! K3BiP2S8 | Alexandria | GGA-PBE | relaxed; values from VASP
&SYSTEM
  ibrav = 0, nat = 56, ntyp = 4
/
ATOMIC_SPECIES
K 39.10 K.upf
Bi 208.98 Bi.upf
P 30.97 P.upf
S 32.06 S.upf
ATOMIC_POSITIONS crystal
K 0.973 0.739 0.917
K 0.027 0.239 0.583
K 0.486 0.479 0.812
K 0.514 0.979 0.688
K 0.001 0.088 0.788
K 0.499 0.912 0.288
K 0.473 0.761 0.083
K 0.999 0.588 0.712
K 0.986 0.021 0.188
K 0.501 0.412 0.212
K 0.014 0.521 0.312
K 0.527 0.261 0.417
Bi 0.053 0.357 0.052
Bi 0.447 0.643 0.552
Bi 0.553 0.143 0.948
Bi 0.947 0.857 0.448
P 0.514 0.389 0.656
P 0.043 0.846 0.591
P 0.957 0.346 0.909
P 0.014 0.111 0.344
P 0.457 0.154 0.091
P 0.486 0.889 0.844
P 0.986 0.611 0.156
P 0.543 0.654 0.409
S 0.267 0.933 0.547
S 0.722 0.814 0.805
S 0.252 0.211 0.317
S 0.733 0.433 0.953
S 0.958 0.389 0.164
S 0.574 0.878 0.419
S 0.541 0.592 0.330
S 0.516 0.855 0.930
S 0.233 0.067 0.047
S 0.222 0.686 0.195
S 0.790 0.910 0.554
S 0.752 0.289 0.683
S 0.074 0.622 0.581
S 0.959 0.408 0.830
S 0.484 0.355 0.570
S 0.042 0.889 0.336
S 0.984 0.145 0.430
S 0.926 0.122 0.919
S 0.210 0.410 0.946
S 0.458 0.111 0.836
S 0.426 0.378 0.081
S 0.248 0.789 0.817
S 0.041 0.908 0.670
S 0.710 0.090 0.054
S 0.278 0.314 0.695
S 0.748 0.711 0.183
S 0.778 0.186 0.305
S 0.542 0.611 0.664
S 0.290 0.590 0.446
S 0.016 0.645 0.070
S 0.459 0.092 0.170
S 0.767 0.567 0.453
CELL_PARAMETERS angstrom
-6.894 0.292 0.973
0.415 -7.636 5.231
3.383 13.779 19.845
! Total moment (μB/atom): 0.00
! Raw formation energy (eV per atom): -0.74
! Mass density (g cm⁻³): 2.7
! Electronic total energy (eV/cell): -245.7



! YGePt3 | Alexandria | GGA-PBE | relaxed; values from VASP
&SYSTEM
  ibrav = 0, nat = 5, ntyp = 3
/
ATOMIC_SPECIES
Y 88.91 Y.upf
Ge 72.64 Ge.upf
Pt 195.08 Pt.upf
ATOMIC_POSITIONS crystal
Y 0.000 0.000 0.000
Ge 0.500 0.500 0.500
Pt 0.000 0.500 0.000
Pt 0.000 0.000 0.500
Pt 0.500 0.000 0.000
CELL_PARAMETERS angstrom
5.114 0.000 0.000
0.000 5.114 0.000
0.000 0.000 5.114
! Total moment (μB/atom): 0.00
! Energy relative to the elements (meV/atom): 882
! Mass density (g cm⁻³): 9.3
! Electronic total energy (eV/cell): -24.8
! Excess energy over the best structure of this formula in the dataset (meV per atom): 1723.7



! Y2InPb5 | Alexandria | GGA-PBE | relaxed; values from VASP
&SYSTEM
  ibrav = 0, nat = 16, ntyp = 3
/
ATOMIC_SPECIES
Y 88.91 Y.upf
In 114.82 In.upf
Pb 207.20 Pb.upf
ATOMIC_POSITIONS crystal
Y 0.500 0.261 0.373
Y 0.500 0.739 0.627
Y 0.500 0.239 0.873
Y 0.500 0.761 0.127
In 0.000 0.000 0.500
In 0.000 0.500 0.000
Pb 0.500 0.261 0.122
Pb 0.500 0.739 0.878
Pb 0.500 0.761 0.378
Pb 0.500 0.239 0.622
Pb 0.000 0.991 0.747
Pb 0.000 0.009 0.253
Pb 0.000 0.491 0.753
Pb 0.000 0.509 0.247
Pb 0.000 0.500 0.500
Pb 0.000 0.000 0.000
CELL_PARAMETERS angstrom
-4.379 0.746 -2.088
2.183 -3.062 -5.671
-4.340 -12.005 4.812
! Total moment (μB/atom): 0.00
! Energy relative to the elements (meV/atom): -312
! Mass density (g cm⁻³): 9.7
! Electronic total energy (eV/cell): -73.4



! HfSi3Au | Alexandria | GGA-PBE | relaxed; values from VASP
&SYSTEM
  ibrav = 0, nat = 5, ntyp = 3
/
ATOMIC_SPECIES
Hf 178.49 Hf.upf
Si 28.09 Si.upf
Au 196.97 Au.upf
ATOMIC_POSITIONS crystal
Hf 0.000 0.000 0.000
Si 0.000 0.500 0.000
Si 0.000 0.000 0.500
Si 0.500 0.000 0.000
Au 0.500 0.500 0.500
CELL_PARAMETERS angstrom
5.048 0.000 0.000
0.000 5.048 0.000
0.000 0.000 5.048
! Total moment (μB/atom): 0.00
! Raw formation energy (eV per atom): 1.00
! Mass density (g cm⁻³): 5.9
! Electronic total energy (eV/cell): -24.5
! Excess energy over the best structure of this formula in the dataset (meV per atom): 13.0



! TbNdTlSn | Alexandria | GGA-PBE | relaxed; values from VASP
&SYSTEM
  ibrav = 0, nat = 4, ntyp = 4
/
ATOMIC_SPECIES
Tb 158.93 Tb.upf
Nd 144.24 Nd.upf
Tl 204.38 Tl.upf
Sn 118.71 Sn.upf
ATOMIC_POSITIONS crystal
Tb 0.136 0.000 0.271
Nd 0.865 0.500 0.730
Tl 0.410 0.000 0.820
Sn 0.589 0.500 0.179
CELL_PARAMETERS angstrom
4.642 0.000 0.000
0.000 4.397 0.000
-2.321 0.000 5.835
! Total moment (μB/atom): 0.00
! Energy relative to the elements (meV/atom): -559
! Mass density (g cm⁻³): 8.7
! Electronic total energy (eV/cell): -18.0
! Excess energy over the best structure of this formula in the dataset (meV per atom): 0.0



! Al4AsPb | Alexandria | GGA-PBE | relaxed; values from VASP
&SYSTEM
  ibrav = 0, nat = 6, ntyp = 3
/
ATOMIC_SPECIES
Al 26.98 Al.upf
As 74.92 As.upf
Pb 207.20 Pb.upf
ATOMIC_POSITIONS crystal
Al 0.874 0.375 0.375
Al 0.375 0.375 0.874
Al 0.375 0.874 0.375
Al 0.375 0.375 0.375
As 0.750 0.750 0.750
Pb 0.000 0.000 0.000
CELL_PARAMETERS angstrom
-3.367 -4.129 1.584
-2.163 -0.013 5.120
-5.426 0.962 0.727
! Total moment (μB/atom): 0.00
! Energy relative to the elements (meV/atom): 236
! Mass density (g cm⁻³): 5.3
! Electronic total energy (eV/cell): -21.9



! HgAu2Br6 | Alexandria | GGA-PBE | relaxed; values from VASP
&SYSTEM
  ibrav = 0, nat = 18, ntyp = 3
/
ATOMIC_SPECIES
Hg 200.59 Hg.upf
Au 196.97 Au.upf
Br 79.90 Br.upf
ATOMIC_POSITIONS crystal
Hg 0.250 0.176 0.824
Hg 0.750 0.824 0.176
Au 0.145 0.658 0.824
Au 0.355 0.176 0.342
Au 0.855 0.342 0.176
Au 0.645 0.824 0.658
Br 0.574 0.629 0.636
Br 0.926 0.364 0.371
Br 0.426 0.371 0.364
Br 0.074 0.636 0.629
Br 0.793 0.990 0.294
Br 0.707 0.706 0.010
Br 0.207 0.010 0.706
Br 0.293 0.294 0.990
Br 0.214 0.681 0.022
Br 0.286 0.978 0.319
Br 0.786 0.319 0.978
Br 0.714 0.022 0.681
CELL_PARAMETERS angstrom
-6.161 1.529 -3.626
-8.590 -7.180 -0.665
-9.131 4.140 5.028
! Total moment (μB/atom): 0.00
! Raw formation energy (eV per atom): -0.16
! Mass density (g cm⁻³): 5.5
! Electronic total energy (eV/cell): -36.7
! Excess energy over the best structure of this formula in the dataset (meV per atom): 0.0



! KNaB2F8 | Alexandria | GGA-PBE | relaxed; values from VASP
&SYSTEM
  ibrav = 0, nat = 12, ntyp = 4
/
ATOMIC_SPECIES
K 39.10 K.upf
Na 22.99 Na.upf
B 10.81 B.upf
F 19.00 F.upf
ATOMIC_POSITIONS crystal
K 0.000 0.000 0.500
Na 0.000 0.000 0.000
B 0.613 0.613 0.229
B 0.387 0.387 0.771
F 0.702 0.273 0.780
F 0.731 0.731 0.092
F 0.687 0.687 0.382
F 0.313 0.313 0.618
F 0.269 0.269 0.908
F 0.273 0.702 0.780
F 0.727 0.298 0.220
F 0.298 0.727 0.220
CELL_PARAMETERS angstrom
4.876 -0.211 0.050
2.062 4.424 0.050
0.416 0.252 8.027
! Total moment (μB/atom): 0.02
! Raw formation energy (eV per atom): -2.98
! Mass density (g cm⁻³): 2.2
! Electronic total energy (eV/cell): -66.5



! Ta5Te3 | Alexandria | GGA-PBE | relaxed; values from VASP
&SYSTEM
  ibrav = 0, nat = 8, ntyp = 2
/
ATOMIC_SPECIES
Ta 180.95 Ta.upf
Te 127.60 Te.upf
ATOMIC_POSITIONS crystal
Ta 0.000 0.000 0.000
Ta 0.000 0.500 0.000
Ta 0.500 0.000 0.000
Ta 0.297 0.297 0.500
Ta 0.703 0.703 0.500
Te 0.500 0.500 0.000
Te 0.791 0.209 0.500
Te 0.209 0.791 0.500
CELL_PARAMETERS angstrom
-2.139 -2.646 -4.726
1.502 -5.210 2.124
-4.134 -0.349 2.067
! Total moment (μB/atom): 0.00
! Raw formation energy (eV per atom): 0.26
! Mass density (g cm⁻³): 13.6
! Electronic total energy (eV/cell): -66.6
! Excess energy over the best structure of this formula in the dataset (meV per atom): 32.8



! AcGaAgSb | Alexandria | GGA-PBE | relaxed; values from VASP
&SYSTEM
  ibrav = 0, nat = 4, ntyp = 4
/
ATOMIC_SPECIES
Sb 121.76 Sb.upf
Ac 227.00 Ac.upf
Ga 69.72 Ga.upf
Ag 107.87 Ag.upf
ATOMIC_POSITIONS crystal
Sb 0.500 0.500 0.500
Ac 0.000 0.000 0.000
Ga 0.750 0.750 0.750
Ag 0.250 0.250 0.250
CELL_PARAMETERS angstrom
5.296 0.000 0.000
2.648 4.586 0.000
2.648 1.529 4.324
! Total moment (μB/atom): 0.00
! Raw formation energy (eV per atom): -0.30
! Mass density (g cm⁻³): 8.3
! Electronic total energy (eV/cell): -15.3



! P3HSe | Alexandria | GGA-PBE | relaxed; values from VASP
&SYSTEM
  ibrav = 0, nat = 5, ntyp = 3
/
ATOMIC_SPECIES
P 30.97 P.upf
Se 78.96 Se.upf
H 1.01 H.upf
ATOMIC_POSITIONS crystal
P 0.000 0.500 0.000
P 0.000 0.000 0.500
P 0.500 0.000 0.000
Se 0.500 0.500 0.500
H 0.000 0.000 0.000
CELL_PARAMETERS angstrom
-0.406 4.066 -0.170
-3.234 -0.219 2.495
2.471 0.382 3.237
! Total moment (μB/atom): 0.00
! Mass density (g cm⁻³): 4.2
! Electronic total energy (eV/cell): -18.1
! Excess energy over the best structure of this formula in the dataset (meV per atom): 0.0



! TaFe2SiC | Alexandria | GGA-PBE | relaxed; values from VASP
&SYSTEM
  ibrav = 0, nat = 5, ntyp = 4
/
ATOMIC_SPECIES
C 12.01 C.upf
Si 28.09 Si.upf
Fe 55.84 Fe.upf
Ta 180.95 Ta.upf
ATOMIC_POSITIONS crystal
C 0.000 0.500 0.000
Si 0.500 0.500 0.500
Fe 0.000 0.000 0.500
Fe 0.500 0.000 0.000
Ta 0.000 0.000 0.000
CELL_PARAMETERS angstrom
4.690 0.000 0.000
0.000 4.057 0.000
0.000 0.000 4.690
! Total moment (μB/atom): 0.87
! Raw formation energy (eV per atom): 1.78
! Mass density (g cm⁻³): 6.2
! Electronic total energy (eV/cell): -34.5



! SrLiPb6 | Alexandria | GGA-PBE | relaxed; values from VASP
&SYSTEM
  ibrav = 0, nat = 8, ntyp = 3
/
ATOMIC_SPECIES
Sr 87.62 Sr.upf
Li 6.94 Li.upf
Pb 207.20 Pb.upf
ATOMIC_POSITIONS crystal
Sr 0.000 0.000 0.000
Li 0.000 0.000 0.500
Pb 0.500 0.500 0.000
Pb 0.500 0.500 0.500
Pb 0.500 0.000 0.266
Pb 0.500 0.000 0.734
Pb 0.000 0.500 0.266
Pb 0.000 0.500 0.734
CELL_PARAMETERS angstrom
-1.976 -4.569 -0.379
1.267 -0.941 4.736
-8.593 3.469 2.988
! Total moment (μB/atom): 0.00
! Energy relative to the elements (meV/atom): -219
! Mass density (g cm⁻³): 9.2
! Electronic total energy (eV/cell): -27.6



! Sm7Y2Ho3 | Alexandria | GGA-PBE | relaxed; values from VASP
&SYSTEM
  ibrav = 0, nat = 12, ntyp = 3
/
ATOMIC_SPECIES
Sm 150.36 Sm.upf
Y 88.91 Y.upf
Ho 164.93 Ho.upf
ATOMIC_POSITIONS crystal
Sm 0.000 0.408 0.815
Sm 0.000 0.768 0.536
Sm 0.000 0.000 0.000
Sm 0.000 0.592 0.185
Sm 0.500 0.072 0.144
Sm 0.500 0.928 0.856
Sm 0.000 0.232 0.464
Y 0.000 0.851 0.703
Y 0.000 0.149 0.297
Ho 0.500 0.500 0.000
Ho 0.500 0.685 0.370
Ho 0.500 0.315 0.630
CELL_PARAMETERS angstrom
-0.820 3.470 -0.627
-5.321 -1.544 -1.585
-3.248 2.631 18.816
! Total moment (μB/atom): 0.00
! Energy relative to the elements (meV/atom): 115
! Mass density (g cm⁻³): 7.2
! Electronic total energy (eV/cell): -58.3
! Excess energy over the best structure of this formula in the dataset (meV per atom): 42.6



! DyZr2NpN4 | Alexandria | GGA-PBE | relaxed; values from VASP
&SYSTEM
  ibrav = 0, nat = 8, ntyp = 4
/
ATOMIC_SPECIES
Dy 162.50 Dy.upf
Zr 91.22 Zr.upf
Np 237.00 Np.upf
N 14.01 N.upf
ATOMIC_POSITIONS crystal
Dy 0.500 0.500 0.000
Zr 0.250 0.750 0.500
Zr 0.000 0.000 0.000
Np 0.750 0.250 0.500
N 0.998 0.498 0.997
N 0.502 0.002 0.003
N 0.755 0.755 0.510
N 0.245 0.245 0.490
CELL_PARAMETERS angstrom
-2.806 -0.740 -3.753
-2.207 -3.488 2.338
-0.614 5.240 2.425
! Total moment (μB/atom): 0.37
! Raw formation energy (eV per atom): -1.56
! Mass density (g cm⁻³): 9.9
! Electronic total energy (eV/cell): -80.4



! K4Cd3 | Alexandria | GGA-PBE | relaxed; values from VASP
&SYSTEM
  ibrav = 0, nat = 21, ntyp = 2
/
ATOMIC_SPECIES
K 39.10 K.upf
Cd 112.41 Cd.upf
ATOMIC_POSITIONS crystal
K 0.758 0.766 0.008
K 0.758 0.992 0.758
K 0.758 0.242 0.234
K 0.242 0.234 0.992
K 0.242 0.008 0.242
K 0.242 0.758 0.766
K 0.750 0.617 0.486
K 0.750 0.514 0.131
K 0.750 0.869 0.383
K 0.250 0.383 0.514
K 0.250 0.486 0.869
K 0.250 0.131 0.617
Cd 0.752 0.333 0.667
Cd 0.248 0.667 0.333
Cd 0.747 0.280 0.837
Cd 0.747 0.163 0.443
Cd 0.747 0.557 0.720
Cd 0.253 0.720 0.163
Cd 0.253 0.837 0.557
Cd 0.253 0.443 0.280
Cd 0.500 0.000 0.000
CELL_PARAMETERS angstrom
-0.526 4.920 -1.009
-12.458 0.275 7.832
12.885 2.725 6.571
! Total moment (μB/atom): 0.00
! Energy relative to the elements (meV/atom): -31
! Mass density (g cm⁻³): 2.6
! Electronic total energy (eV/cell): -22.1
! Excess energy over the best structure of this formula in the dataset (meV per atom): 0.0



! LaPmAlGa | Alexandria | GGA-PBE | relaxed; values from VASP
&SYSTEM
  ibrav = 0, nat = 4, ntyp = 4
/
ATOMIC_SPECIES
La 138.91 La.upf
Al 26.98 Al.upf
Ga 69.72 Ga.upf
Pm 145.00 Pm.upf
ATOMIC_POSITIONS crystal
La 0.500 0.500 0.500
Al 0.750 0.750 0.750
Ga 0.250 0.250 0.250
Pm 0.000 0.000 0.000
CELL_PARAMETERS angstrom
5.289 0.000 0.000
2.644 4.580 0.000
2.644 1.527 4.318
! Total moment (μB/atom): 0.00
! Energy relative to the elements (meV/atom): -455
! Mass density (g cm⁻³): 6.0
! Electronic total energy (eV/cell): -18.3
! Excess energy over the best structure of this formula in the dataset (meV per atom): 24.1



! SrTlSn3 | Alexandria | GGA-PBE | relaxed; values from VASP
&SYSTEM
  ibrav = 0, nat = 5, ntyp = 3
/
ATOMIC_SPECIES
Sr 87.62 Sr.upf
Tl 204.38 Tl.upf
Sn 118.71 Sn.upf
ATOMIC_POSITIONS crystal
Sr 0.500 0.500 0.500
Tl 0.000 0.000 0.000
Sn 0.000 0.500 0.000
Sn 0.000 0.000 0.500
Sn 0.500 0.000 0.000
CELL_PARAMETERS angstrom
5.756 0.000 0.000
0.000 5.756 0.000
0.000 0.000 5.756
! Total moment (μB/atom): 0.00
! Energy relative to the elements (meV/atom): 250
! Mass density (g cm⁻³): 5.6
! Electronic total energy (eV/cell): -14.8
! Excess energy over the best structure of this formula in the dataset (meV per atom): 398.4



! InFePbN2 | Alexandria | GGA-PBE | relaxed; values from VASP
&SYSTEM
  ibrav = 0, nat = 5, ntyp = 4
/
ATOMIC_SPECIES
Pb 207.20 Pb.upf
N 14.01 N.upf
Fe 55.84 Fe.upf
In 114.82 In.upf
ATOMIC_POSITIONS crystal
Pb 0.000 0.000 0.000
N 0.000 0.000 0.500
N 0.500 0.000 0.000
Fe 0.500 0.500 0.500
In 0.000 0.500 0.000
CELL_PARAMETERS angstrom
4.296 0.000 0.000
0.000 6.203 0.000
0.000 0.000 4.296
! Total moment (μB/atom): 1.02
! Raw formation energy (eV per atom): 2.06
! Mass density (g cm⁻³): 5.9
! Electronic total energy (eV/cell): -21.3



! La2GaAg3 | Alexandria | GGA-PBE | relaxed; values from VASP
&SYSTEM
  ibrav = 0, nat = 6, ntyp = 3
/
ATOMIC_SPECIES
La 138.91 La.upf
Ga 69.72 Ga.upf
Ag 107.87 Ag.upf
ATOMIC_POSITIONS crystal
La 0.000 0.500 0.003
La 0.000 0.000 0.498
Ga 0.500 0.500 0.330
Ag 0.500 0.000 0.838
Ag 0.500 0.000 0.175
Ag 0.500 0.500 0.657
CELL_PARAMETERS angstrom
3.684 0.000 0.000
0.000 4.750 0.000
0.000 0.000 8.395
! Total moment (μB/atom): 0.00
! Energy relative to the elements (meV/atom): -390
! Mass density (g cm⁻³): 7.6
! Electronic total energy (eV/cell): -23.8
! Excess energy over the best structure of this formula in the dataset (meV per atom): 0.0



! Pm4Pr5Cd2 | Alexandria | GGA-PBE | relaxed; values from VASP
&SYSTEM
  ibrav = 0, nat = 11, ntyp = 3
/
ATOMIC_SPECIES
Pm 145.00 Pm.upf
Pr 140.91 Pr.upf
Cd 112.41 Cd.upf
ATOMIC_POSITIONS crystal
Pm 0.500 0.750 0.551
Pm 0.500 0.157 0.871
Pm 0.500 0.250 0.449
Pm 0.500 0.843 0.129
Pr 0.000 0.553 0.306
Pr 0.000 0.195 0.161
Pr 0.000 0.500 0.000
Pr 0.000 0.805 0.839
Pr 0.000 0.447 0.694
Cd 0.000 0.061 0.633
Cd 0.000 0.939 0.367
CELL_PARAMETERS angstrom
3.586 0.000 0.000
0.000 8.889 -0.037
0.000 -0.906 11.375
! Total moment (μB/atom): 0.00
! Energy relative to the elements (meV/atom): -15
! Mass density (g cm⁻³): 6.9
! Electronic total energy (eV/cell): -44.9